Compound: Ho2CdHg9
Source: the Alexandria database
Functional: PBE
Structure: optimized geometry

Values from the calculation:
The formation energy is -0.202 eV per atom.

Unit cell a=4.6886 b=4.6886 c=13.1380 alpha=90.00 beta=90.00 gamma=90.00
Closest atoms and distances in Å follow each position.
Atoms (fractional coordinates):
1 Ho 0.0000 0.0000 0.1746  12 Hg 3.16-3.32
2 Ho 0.0000 0.0000 0.8254  12 Hg 3.16-3.32
3 Cd 0.0000 0.0000 0.5000  12 Hg 3.18-3.32
4 Hg 0.0000 0.5000 0.0000  8 Hg 3.19-3.32, 4 Ho 3.28
5 Hg 0.0000 0.5000 0.3362  2 Ho 3.16, 8 Hg 3.18-3.32, 2 Cd 3.18
6 Hg 0.0000 0.5000 0.6638  2 Ho 3.16, 8 Hg 3.18-3.32, 2 Cd 3.18
7 Hg 0.5000 0.0000 0.0000  8 Hg 3.19-3.32, 4 Ho 3.28
8 Hg 0.5000 0.0000 0.3362  2 Ho 3.16, 8 Hg 3.18-3.32, 2 Cd 3.18
9 Hg 0.5000 0.0000 0.6638  2 Ho 3.16, 8 Hg 3.18-3.32, 2 Cd 3.18
10 Hg 0.5000 0.5000 0.1643  8 Hg 3.19-3.26, 4 Ho 3.32
11 Hg 0.5000 0.5000 0.5000  8 Hg 3.18, 4 Cd 3.32
12 Hg 0.5000 0.5000 0.8357  8 Hg 3.19-3.26, 4 Ho 3.32